{
  "formula": "Gd2P4O13",
  "functional": "meta-GGA SCAN",
  "state": "single point on PBEsol structure",
  "lattice": [[5.932, -3.400, 0.000], [5.932, 3.400, 0.000], [-3.662, 0.000, 12.463]],
  "species": ["Gd", "Gd", "Gd", "Gd", "P", "P", "P", "P", "P", "P", "P", "P", "O", "O", "O", "O", "O", "O", "O", "O", "O", "O", "O", "O", "O", "O", "O", "O", "O", "O", "O", "O", "O", "O", "O", "O", "O", "O"],
  "fractional_positions": [[0.186, 0.193, 0.049], [0.193, 0.186, 0.549], [0.807, 0.814, 0.451], [0.814, 0.807, 0.951], [0.251, 0.274, 0.339], [0.274, 0.251, 0.839], [0.333, 0.647, 0.135], [0.353, 0.667, 0.365], [0.647, 0.333, 0.635], [0.667, 0.353, 0.865], [0.726, 0.749, 0.161], [0.749, 0.726, 0.661], [0.052, 0.421, 0.404], [0.078, 0.421, 0.903], [0.169, 0.824, 0.060], [0.176, 0.831, 0.440], [0.187, 0.202, 0.222], [0.202, 0.187, 0.722], [0.247, 0.753, 0.250], [0.370, 0.408, 0.102], [0.381, 0.418, 0.344], [0.408, 0.370, 0.602], [0.418, 0.381, 0.844], [0.421, 0.052, 0.904], [0.421, 0.078, 0.403], [0.579, 0.922, 0.597], [0.579, 0.948, 0.096], [0.582, 0.619, 0.156], [0.592, 0.630, 0.398], [0.619, 0.582, 0.656], [0.630, 0.592, 0.898], [0.753, 0.247, 0.750], [0.798, 0.813, 0.278], [0.813, 0.798, 0.778], [0.824, 0.169, 0.560], [0.831, 0.176, 0.940], [0.922, 0.579, 0.097], [0.948, 0.579, 0.596]],
  "de_polymorph_mev_per_atom": 6,
  "crystal_system": "monoclinic",
  "dft_energy_ev_per_atom": -15.56,
  "dos_at_fermi_per_ev_fu": 0.00,
  "formation_energy_uncorrected_ev_per_atom": -2.9197
}